TbSi4 | PBE | relaxed

Cell lengths 5.255, 5.255, 5.255 Å; angles 90.00, 90.00, 90.00 degrees
Atoms (fractional coordinates):
Tb  0.500  0.500  0.500
Si  0.500  0.500  0.000
Si  0.000  0.500  0.500
Si  0.500  0.000  0.500
Si  0.000  0.000  0.000

Total energy, eV/cell: -19.0
Formation energy from raw total energies, eV per atom: 1.4691